Entry 1:
# TiH2S (GGA-PBE, relaxed)
# - spin magnetization (μB/f.u.) = 0.00
# - ΔE to the lowest computed polymorph (eV/atom) = 0.326
data_TiH2S
_space_group_name_H-M_alt 'R -3 m'
_space_group_IT_number 166
_space_group_name_Hall '-R 3 2"'
_cell_length_a 3.9461
_cell_length_b 3.9461
_cell_length_c 8.3482
_cell_angle_alpha 90.00
_cell_angle_beta 90.00
_cell_angle_gamma 120.00
loop_
_atom_site_label
_atom_site_type_symbol
_atom_site_fract_x
_atom_site_fract_y
_atom_site_fract_z
Ti1 Ti 0.0000 0.0000 0.0000
H1 H 0.0000 0.0000 0.2176
S1 S 0.0000 0.0000 0.5000


Entry 2:
# Ti3HS6 (GGA-PBE, relaxed)
# - spin magnetization (μB/f.u.) = 1.06
# - raw total energy (eV per atom) = -6.16
data_Ti3HS6
_space_group_name_H-M_alt 'C m c 21'
_space_group_IT_number 36
_cell_length_a 9.642
_cell_length_b 11.766
_cell_length_c 6.005
_cell_angle_alpha 90.00
_cell_angle_beta 90.00
_cell_angle_gamma 90.00
loop_
_space_group_symop_operation_xyz
'x,y,z'
'-x,-y,z+1/2'
'-x,y,z'
'x,-y,z+1/2'
'x+1/2,y+1/2,z'
'-x+1/2,-y+1/2,z+1/2'
'-x+1/2,y+1/2,z'
'x+1/2,-y+1/2,z+1/2'
loop_
_atom_site_label
_atom_site_type_symbol
_atom_site_fract_x
_atom_site_fract_y
_atom_site_fract_z
Ti1 Ti 0.000 0.100 0.000
Ti2 Ti 0.185 0.388 0.887
H1 H 0.000 0.374 0.383
S1 S 0.000 0.277 0.733
S2 S 0.000 0.465 0.240
S3 S 0.163 0.033 0.700
S4 S 0.175 0.225 0.149